# 1
This record from Alexandria describes crystalline KScV2 at its relaxed geometry. The functional is PBE-GGA.

Properties
The symmetry is I-42d, No. 122. The value obtained for the formation energy is 1.49 eV/atom. For the total energy, the calculation gives -4.93 eV/atom. As for the energy relative to the lowest polymorph listed for this composition: 158.9 meV per atom.

Cell and atoms, written as extended XYZ:
```
8
Lattice="-3.7710 -0.3959 2.3194 -1.6098 -2.7614 -3.0886 1.3460 -9.7183 4.7889" Properties=species:S:1:pos:R:3 pbc="T T T"
V -3.2412 -3.1292 2.8879
K -1.4771 -7.0292 0.6578
V -3.8924 -4.4938 1.2490
Sc -2.5577 -5.8464 3.3618
K -2.6904 -1.5786 -0.3846
V -0.5730 -7.7261 4.1383
Sc 0.0000 0.0000 0.0000
V -2.5241 -8.0366 5.1721
```

=====

# 2
This record from Alexandria describes crystalline K2ScV4 at its relaxed geometry. The functional is PBE-GGA.

Properties
The symmetry is I4/mmm, No. 139. The value obtained for the formation energy is 1.66 eV/atom. For the total energy, the calculation gives -4.77 eV/atom.

Cell and atoms, written as extended XYZ:
```
7
Lattice="-3.8886 0.1480 3.3779 1.5128 -4.5278 1.9399 3.9179 1.9565 8.3551" Properties=species:S:1:pos:R:3 pbc="T T T"
Sc 0.0000 0.0000 0.0000
V -0.9580 -3.2285 6.8995
K 0.3194 -0.9658 4.3405
V -1.9443 0.0740 1.6889
V 2.5001 0.8051 6.7733
K 1.2226 -1.4576 9.3323
V 0.7564 -2.2639 0.9700
```

=====

# 3
This record from Alexandria describes crystalline KSc3V at its relaxed geometry. The functional is PBE-GGA.

Properties
The symmetry is Pm-3m, No. 221. The value obtained for the formation energy is 0.62 eV/atom. For the total energy, the calculation gives -5.22 eV/atom. As for the energy relative to the lowest polymorph listed for this composition: 0.0 meV per atom.

Cell and atoms, written as extended XYZ:
```
5
Lattice="5.2367 0.0000 0.0000 0.0000 5.2367 0.0000 0.0000 0.0000 5.2367" Properties=species:S:1:pos:R:3 pbc="T T T"
V 0.0000 0.0000 0.0000
Sc 0.0000 2.6183 0.0000
K 2.6183 2.6183 2.6183
Sc 0.0000 0.0000 2.6183
Sc 2.6183 0.0000 0.0000
```

=====

# 4
This record from Alexandria describes crystalline K3ScV at its relaxed geometry. The functional is PBE-GGA.

Properties
The symmetry is Pm-3m, No. 221. The value obtained for the formation energy is 1.35 eV/atom. For the total energy, the calculation gives -2.40 eV/atom. As for the energy relative to the lowest polymorph listed for this composition: 0.0 meV per atom.

Cell and atoms, written as extended XYZ:
```
5
Lattice="6.5001 0.0000 0.0000 0.0000 6.5001 0.0000 0.0000 0.0000 6.5001" Properties=species:S:1:pos:R:3 pbc="T T T"
K 0.0000 0.0000 3.2501
V 0.0000 0.0000 0.0000
Sc 3.2501 3.2501 3.2501
K 0.0000 3.2501 0.0000
K 3.2501 0.0000 0.0000
```

=====

# 5
This record from Alexandria describes crystalline K2ScV at its relaxed geometry. The functional is PBE-GGA.

Properties
The symmetry is I-42d, No. 122. The value obtained for the formation energy is 1.20 eV/atom. For the total energy, the calculation gives -3.21 eV/atom. As for the energy relative to the lowest polymorph listed for this composition: 0.0 meV per atom.

Cell and atoms, written as extended XYZ:
```
8
Lattice="-6.0408 -9.0207 6.4351 6.6313 -8.8149 -6.1317 2.1794 -8.8231 2.0532" Properties=species:S:1:pos:R:3 pbc="T T T"
Sc 0.2953 -8.9178 0.1517
Sc 4.5530 -13.2779 -1.9634
K -1.2756 -16.6226 3.0353
V -1.7831 -13.3808 4.3200
K 0.9439 -12.0932 2.4970
K -3.5679 -14.6210 7.0937
K -3.2326 -10.1863 4.6539
V 0.0000 0.0000 0.0000
```

=====

# 6
This record from Alexandria describes crystalline KScV2 at its relaxed geometry. The functional is PBE-GGA.

Properties
The symmetry is Fm-3m, No. 225. The value obtained for the formation energy is 1.33 eV/atom. For the total energy, the calculation gives -5.09 eV/atom. As for the energy relative to the lowest polymorph listed for this composition: 0.0 meV per atom.

Cell and atoms, written as extended XYZ:
```
4
Lattice="0.0000 3.6840 3.6840 3.6840 0.0000 3.6840 3.6840 3.6840 0.0000" Properties=species:S:1:pos:R:3 pbc="T T T"
K 0.0000 0.0000 0.0000
Sc 3.6840 3.6840 3.6840
V 1.8420 1.8420 1.8420
V 5.5260 5.5260 5.5260
```

=====

# 7
This record from Alexandria describes crystalline KSc2V at its relaxed geometry. The functional is PBE-GGA.

Properties
The symmetry is R-3m, No. 166. The value obtained for the formation energy is 0.54 eV/atom. For the total energy, the calculation gives -5.18 eV/atom. As for the energy relative to the lowest polymorph listed for this composition: 0.0 meV per atom.

Cell and atoms, written as extended XYZ:
```
4
Lattice="-11.3604 1.2691 -0.8250 -11.3218 -1.5397 0.8920 -11.1127 1.3493 2.4569" Properties=species:S:1:pos:R:3 pbc="T T T"
Sc -30.2326 0.9649 2.2579
K 0.0000 0.0000 0.0000
V -16.8975 0.5393 1.2620
Sc -3.5623 0.1137 0.2660
```

=====

# 8
This record from Alexandria describes crystalline K2ScV at its relaxed geometry. The functional is PBE-GGA.

Properties
The symmetry is Fm-3m, No. 225. The value obtained for the formation energy is 1.33 eV/atom. For the total energy, the calculation gives -3.09 eV/atom. As for the energy relative to the lowest polymorph listed for this composition: 124.5 meV per atom.

Cell and atoms, written as extended XYZ:
```
4
Lattice="-4.4729 -3.8775 -0.5664 -4.2518 0.9364 -4.0506 -0.3340 -3.4710 -4.8169" Properties=species:S:1:pos:R:3 pbc="T T T"
V -4.5293 -3.2061 -4.7170
Sc 0.0000 0.0000 0.0000
K -6.7940 -4.8091 -7.0755
K -2.2647 -1.6030 -2.3585
```